VASP calculation (PBE-GGA) on an optimized crystal structure of La2HoMg3CdIn2.

a b c (Å): 4.7753 7.6702 7.6702
angles (deg): 118.98 90.00 90.00
Sites, in units of the cell vectors:
La 0.0000 0.2112 0.7888
La 0.0000 0.7888 0.2112
Ho 0.0000 0.3648 0.3648
Mg 0.5000 0.0246 0.0246
Mg 0.5000 0.5460 0.7849
Mg 0.5000 0.7849 0.5460
Cd 0.0000 0.7749 0.7749
In 0.5000 0.1283 0.4504
In 0.5000 0.4504 0.1283

Calculated values
electronic total energy	-3.2087	eV per atom
crystal system	orthorhombic

VASP calculation (PBE-GGA) on an optimized crystal structure of Ho3Mg3CdIn2.

a b c (Å): 7.4972 7.4972 4.6362
angles (deg): 90.00 90.00 120.00
Sites, in units of the cell vectors:
Ho 0.0000 0.5716 0.0000
Ho 0.4284 0.4284 0.0000
Ho 0.5716 0.0000 0.0000
Mg 0.0000 0.2395 0.5000
Mg 0.2395 0.0000 0.5000
Mg 0.7605 0.7605 0.5000
Cd 0.0000 0.0000 0.0000
In 0.3333 0.6667 0.5000
In 0.6667 0.3333 0.5000

Calculated values
electronic total energy	-3.1068	eV per atom
crystal system	hexagonal

VASP calculation (PBE-GGA) on an optimized crystal structure of Ho3Mg3CdIn2.

a b c (Å): 4.6162 7.5039 7.5039
angles (deg): 119.89 90.00 90.00
Sites, in units of the cell vectors:
Ho 0.0000 0.0000 0.0000
Ho 0.0000 0.4269 0.8538
Ho 0.0000 0.8538 0.4269
Mg 0.5000 0.1860 0.4266
Mg 0.5000 0.4266 0.1860
Mg 0.5000 0.6675 0.6675
Cd 0.0000 0.4261 0.4261
In 0.5000 0.0933 0.7606
In 0.5000 0.7606 0.0933

Calculated values
electronic total energy	-3.1067	eV per atom
crystal system	orthorhombic

VASP calculation (PBE-GGA) on an optimized crystal structure of Nd2HoMg3CdIn2.

a b c (Å): 4.7060 7.5962 7.5962
angles (deg): 119.24 90.00 90.00
Sites, in units of the cell vectors:
Nd 0.0000 0.2117 0.7883
Nd 0.0000 0.7883 0.2117
Ho 0.0000 0.3646 0.3646
Mg 0.5000 0.0254 0.0254
Mg 0.5000 0.5461 0.7856
Mg 0.5000 0.7856 0.5461
Cd 0.0000 0.7784 0.7784
In 0.5000 0.1257 0.4519
In 0.5000 0.4519 0.1257

Calculated values
electronic total energy	-3.1705	eV per atom
crystal system	orthorhombic

VASP calculation (PBE-GGA) on an optimized crystal structure of SmHo2Mg3CdIn2.

a b c (Å): 4.6536 7.5747 7.5747
angles (deg): 120.86 90.00 90.00
Sites, in units of the cell vectors:
Sm 0.0000 0.0000 0.0000
Ho 0.0000 0.4245 0.8507
Ho 0.0000 0.8507 0.4245
Mg 0.5000 0.1876 0.4267
Mg 0.5000 0.4267 0.1876
Mg 0.5000 0.6680 0.6680
Cd 0.0000 0.4349 0.4349
In 0.5000 0.0940 0.7549
In 0.5000 0.7549 0.0940

Calculated values
electronic total energy	-3.1324	eV per atom
crystal system	orthorhombic

VASP calculation (PBE-GGA) on an optimized crystal structure of Ho2TmMg3CdIn2.

a b c (Å): 4.6049 7.5000 7.5000
angles (deg): 119.79 90.00 90.00
Sites, in units of the cell vectors:
Ho 0.0000 0.2138 0.7862
Ho 0.0000 0.7862 0.2138
Tm 0.0000 0.3589 0.3589
Mg 0.5000 0.0266 0.0266
Mg 0.5000 0.5450 0.7860
Mg 0.5000 0.7860 0.5450
Cd 0.0000 0.7845 0.7845
In 0.5000 0.1204 0.4523
In 0.5000 0.4523 0.1204

Calculated values
electronic total energy	-3.0873	eV per atom
crystal system	orthorhombic

VASP calculation (PBE-GGA) on an optimized crystal structure of Y2HoMg3CdIn2.

a b c (Å): 4.5995 7.5333 7.5333
angles (deg): 119.87 90.00 90.00
Sites, in units of the cell vectors:
Y 0.0000 0.2135 0.7865
Y 0.0000 0.7865 0.2135
Ho 0.0000 0.3594 0.3594
Mg 0.5000 0.0271 0.0271
Mg 0.5000 0.5457 0.7861
Mg 0.5000 0.7861 0.5457
Cd 0.0000 0.7854 0.7854
In 0.5000 0.1205 0.4527
In 0.5000 0.4527 0.1205

Calculated values
electronic total energy	-3.5496	eV per atom
crystal system	orthorhombic

VASP calculation (PBE-GGA) on an optimized crystal structure of PrHo2Cd4In2.

a b c (Å): 4.6575 7.5621 7.5621
angles (deg): 120.88 90.00 90.00
Sites, in units of the cell vectors:
Pr 0.0000 0.0000 0.0000
Ho 0.0000 0.4222 0.8493
Ho 0.0000 0.8493 0.4222
Cd 0.0000 0.4357 0.4357
Cd 0.5000 0.1846 0.4251
Cd 0.5000 0.4251 0.1846
Cd 0.5000 0.6696 0.6696
In 0.5000 0.0935 0.7529
In 0.5000 0.7529 0.0935

Calculated values
electronic total energy	-2.9533	eV per atom
crystal system	orthorhombic

VASP calculation (PBE-GGA) on an optimized crystal structure of PrHo2Zn3CdIn2.

a b c (Å): 4.6147 7.2731 7.2731
angles (deg): 121.12 90.00 90.00
Sites, in units of the cell vectors:
Pr 0.0000 0.0000 0.0000
Ho 0.0000 0.4224 0.8511
Ho 0.0000 0.8511 0.4224
Zn 0.5000 0.1939 0.4267
Zn 0.5000 0.4267 0.1939
Zn 0.5000 0.6614 0.6614
Cd 0.0000 0.4391 0.4391
In 0.5000 0.0940 0.7527
In 0.5000 0.7527 0.0940

Calculated values
electronic total energy	-3.0357	eV per atom
crystal system	orthorhombic

VASP calculation (PBE-GGA) on an optimized crystal structure of Pr2HoZn3CdIn2.

a b c (Å): 4.6593 7.2865 7.2865
angles (deg): 118.94 90.00 90.00
Sites, in units of the cell vectors:
Pr 0.0000 0.2107 0.7893
Pr 0.0000 0.7893 0.2107
Ho 0.0000 0.3622 0.3622
Zn 0.5000 0.0172 0.0172
Zn 0.5000 0.5515 0.7858
Zn 0.5000 0.7858 0.5515
Cd 0.0000 0.7732 0.7732
In 0.5000 0.1267 0.4512
In 0.5000 0.4512 0.1267

Calculated values
electronic total energy	-3.0551	eV per atom
crystal system	orthorhombic

VASP calculation (PBE-GGA) on an optimized crystal structure of Tb2HoCd3In3.

a b c (Å): 4.6246 7.5023 7.5023
angles (deg): 119.85 90.00 90.00
Sites, in units of the cell vectors:
Tb 0.0000 0.2168 0.7832
Tb 0.0000 0.7832 0.2168
Ho 0.0000 0.3491 0.3491
Cd 0.5000 0.0287 0.0287
Cd 0.5000 0.5370 0.7829
Cd 0.5000 0.7829 0.5370
In 0.0000 0.7817 0.7817
In 0.5000 0.1172 0.4492
In 0.5000 0.4492 0.1172

Calculated values
electronic total energy	-3.1583	eV per atom
crystal system	orthorhombic

VASP calculation (PBE-GGA) on an optimized crystal structure of HoTm2Cd3In3.

a b c (Å): 4.5997 7.4560 7.4560
angles (deg): 120.14 90.00 90.00
Sites, in units of the cell vectors:
Ho 0.0000 0.0000 0.0000
Tm 0.0000 0.4350 0.8703
Tm 0.0000 0.8703 0.4350
Cd 0.5000 0.1890 0.4352
Cd 0.5000 0.4352 0.1890
Cd 0.5000 0.6814 0.6814
In 0.0000 0.4363 0.4363
In 0.5000 0.1023 0.7676
In 0.5000 0.7676 0.1023

Calculated values
electronic total energy	-3.0855	eV per atom
crystal system	orthorhombic

Which formula does entry 4 have?
Nd2HoMg3CdIn2

The lowest electronic total energy belongs to which entry?
Y2HoMg3CdIn2

Which value of electronic total energy does entry 7 give?
-3.5496 eV per atom

What is the electronic total energy in the first record?
-3.2087 eV per atom